Below is a relaxed LiCa2Pb2 crystal, with properties calculated at the PBE level.

Cell lengths 9.439, 9.439, 3.525 Å; angles 90.00, 90.00, 90.00 degrees
Space group P4/mbm (No. 127)
Inequivalent atoms, fractional coordinates:
1 Li 0.000 0.000 0.000
2 Ca 0.126 0.374 0.000
3 Pb 0.176 0.676 0.500

raw total energy	-2.9667	eV/atom
relative energy among the computed polymorphs	174	meV per atom
DFT formation energy	-1.50	eV/f.u.
M_tot	0.000	μB per formula unit
DOS(E_F)	3.9	states/eV/cell